(1)
LaRe3: relaxed, PBE-GGA.

Structure (POSCAR):
```
LaRe3
1.0
3.077 -4.303 0.000
3.077 4.303 0.000
0.000 0.000 2.721
La Re
1 3
direct
0.000 0.000 0.000
0.000 0.500 0.500
0.500 0.000 0.500
0.500 0.500 0.000
```

Crystal system   orthorhombic
ΔE_f   20.97 kcal/mol of atoms
Size of the total moment   0.000 Bohr magnetons per cell
Excess energy over the best structure of this formula in the dataset   532 meV/atom

(2)
La3Re: relaxed, PBE-GGA.

Structure (POSCAR):
```
La3Re
1.0
1.818 1.050 10.550
-1.818 1.050 10.550
0.000 -2.100 10.550
La Re
3 1
direct
0.000 0.000 0.000
0.232 0.232 0.232
0.768 0.768 0.768
0.500 0.500 0.500
```

Crystal system   trigonal
ΔE_f   10.05 kcal/mol of atoms
Size of the total moment   0.000 Bohr magnetons per cell

(3)
LaRe2: relaxed, PBE-GGA.

Structure (POSCAR):
```
LaRe2
1.0
3.624 0.000 0.000
0.000 3.624 0.000
0.000 0.000 5.315
La Re
1 2
direct
0.000 0.000 0.000
0.000 0.500 0.500
0.500 0.000 0.500
```

Crystal system   tetragonal
ΔE_f   11.88 kcal/mol of atoms
Size of the total moment   0.000 Bohr magnetons per cell

(4)
La3Re: relaxed, PBE-GGA.

Structure (POSCAR):
```
La3Re
1.0
-2.388 2.388 9.432
2.388 -2.388 9.432
2.388 2.388 -9.432
La Re
6 2
direct
0.000 0.500 0.500
0.127 0.127 0.000
0.250 0.750 0.500
0.500 0.000 0.500
0.750 0.250 0.500
0.873 0.873 0.000
0.371 0.371 0.000
0.629 0.629 0.000
```

Crystal system   tetragonal
ΔE_f   9.93 kcal/mol of atoms
Size of the total moment   0.000 Bohr magnetons per cell

(5)
La5Re: relaxed, PBE-GGA.

Structure (POSCAR):
```
La5Re
1.0
3.586 0.000 0.000
0.000 3.586 0.000
0.000 0.000 15.029
La Re
5 1
direct
0.000 0.000 0.000
0.000 0.000 0.384
0.000 0.000 0.616
0.500 0.500 0.172
0.500 0.500 0.828
0.500 0.500 0.500
```

Crystal system   tetragonal
ΔE_f   3.63 kcal/mol of atoms
Size of the total moment   0.000 Bohr magnetons per cell
Excess energy over the best structure of this formula in the dataset   24 meV/atom

(6)
LaRe3: relaxed, PBE-GGA.

Structure (POSCAR):
```
LaRe3
1.0
4.189 0.000 0.000
0.000 5.564 0.000
0.000 0.000 7.191
La Re
2 6
direct
0.250 0.250 0.083
0.750 0.750 0.917
0.250 0.511 0.620
0.250 0.750 0.303
0.250 0.989 0.620
0.750 0.011 0.380
0.750 0.250 0.697
0.750 0.489 0.380
```

Crystal system   orthorhombic
ΔE_f   8.70 kcal/mol of atoms
Size of the total moment   0.000 Bohr magnetons per cell
Excess energy over the best structure of this formula in the dataset   0 meV/atom

(7)
La3Re: relaxed, PBE-GGA.

Structure (POSCAR):
```
La3Re
1.0
0.000 3.740 3.740
3.740 0.000 3.740
3.740 3.740 0.000
La Re
3 1
direct
0.000 0.000 0.000
0.250 0.250 0.250
0.750 0.750 0.750
0.500 0.500 0.500
```

Crystal system   cubic
ΔE_f   9.53 kcal/mol of atoms
Size of the total moment   0.001 Bohr magnetons per cell

(8)
La3Re: relaxed, PBE-GGA.

Structure (POSCAR):
```
La3Re
1.0
4.774 0.000 0.000
0.000 4.774 0.000
0.000 0.000 4.774
La Re
3 1
direct
0.000 0.000 0.500
0.000 0.500 0.000
0.500 0.000 0.000
0.500 0.500 0.500
```

Crystal system   cubic
ΔE_f   10.17 kcal/mol of atoms
Size of the total moment   0.006 Bohr magnetons per cell

(9)
La5Re: relaxed, PBE-GGA.

Structure (POSCAR):
```
La5Re
1.0
3.446 1.989 4.539
-3.446 1.989 4.539
0.000 -3.979 4.539
La Re
5 1
direct
0.000 0.500 0.500
0.121 0.121 0.121
0.500 0.000 0.500
0.500 0.500 0.000
0.879 0.879 0.879
0.500 0.500 0.500
```

Crystal system   trigonal
ΔE_f   6.23 kcal/mol of atoms
Size of the total moment   0.581 Bohr magnetons per cell
Excess energy over the best structure of this formula in the dataset   137 meV/atom

(10)
LaRe3: relaxed, PBE-GGA.

Structure (POSCAR):
```
LaRe3
1.0
4.199 0.000 0.000
0.000 4.199 0.000
0.000 0.000 4.199
La Re
1 3
direct
0.000 0.000 0.000
0.000 0.500 0.500
0.500 0.000 0.500
0.500 0.500 0.000
```

Crystal system   cubic
ΔE_f   26.86 kcal/mol of atoms
Size of the total moment   2.152 Bohr magnetons per cell
Excess energy over the best structure of this formula in the dataset   788 meV/atom

(11)
LaRe2: relaxed, PBE-GGA.

Structure (POSCAR):
```
LaRe2
1.0
4.364 -3.878 0.000
4.364 3.878 0.000
-2.162 0.000 3.806
La Re
2 4
direct
0.177 0.823 0.750
0.823 0.177 0.250
0.248 0.424 0.082
0.424 0.248 0.582
0.576 0.752 0.418
0.752 0.576 0.918
```

Crystal system   monoclinic
ΔE_f   3.65 kcal/mol of atoms
Size of the total moment   0.000 Bohr magnetons per cell

(12)
LaRe3Rh: relaxed, PBE-GGA.

Structure (POSCAR):
```
LaRe3Rh
1.0
4.777 0.000 0.000
0.000 4.777 0.000
0.000 0.000 4.777
La Re Rh
1 3 1
direct
0.000 0.000 0.000
0.000 0.500 0.500
0.500 0.000 0.500
0.500 0.500 0.000
0.500 0.500 0.500
```

Crystal system   cubic
ΔE_f   34.55 kcal/mol of atoms
Size of the total moment   0.000 Bohr magnetons per cell
Excess energy over the best structure of this formula in the dataset   0 meV/atom

Question: The lowest ΔE_f belongs to which entry?
Answer: number 5